1.
Entry from Alexandria: Hf3Tl3CuTe8 after structural relaxation (PBE-GGA).

Properties
The magnetization is 0.00 Bohr magnetons per cell. The value obtained for the raw formation energy is -0.4975 eV/atom. As for the symmetry: C2/m (12). Its crystal system is monoclinic.

Cell: 8.2541 8.2541 9.5936 Å, 115.43 115.43 60.05°
With the nearest neighbours (Å) after each atom.
Element x y z (fractional)
1 Hf 0.0000 0.0000 0.0000  6 Te 2.89-2.93
2 Hf 0.0000 0.5000 0.0000  6 Te 2.89-2.93
3 Hf 0.5000 0.0000 0.0000  6 Te 2.89-2.93
4 Tl 0.0000 0.5000 0.5000  6 Te 3.42-3.48
5 Tl 0.5000 0.0000 0.5000  6 Te 3.42-3.48
6 Tl 0.5000 0.5000 0.5000  6 Te 3.42-3.48
7 Cu 0.5000 0.5000 0.0000  6 Te 2.85-2.86
8 Te 0.2352 0.2352 0.2056  3 Hf 2.93
9 Te 0.2345 0.7296 0.1937  1 Cu 2.86, 2 Hf 2.89
10 Te 0.2704 0.7655 0.8063  1 Cu 2.86, 2 Hf 2.89
11 Te 0.2714 0.2714 0.8070  1 Cu 2.85, 2 Hf 2.89
12 Te 0.7286 0.7286 0.1930  1 Cu 2.85, 2 Hf 2.89
13 Te 0.7296 0.2345 0.1937  1 Cu 2.86, 2 Hf 2.89
14 Te 0.7655 0.2704 0.8063  1 Cu 2.86, 2 Hf 2.89
15 Te 0.7648 0.7648 0.7944  3 Hf 2.93



2.
Entry from Alexandria: Na3Cd2Hg4Pb2 after structural relaxation (PBE-GGA).

Properties
The magnetization is 0.00 Bohr magnetons per cell. As for the symmetry: P-3m1 (164). For the final energy, the calculation gives -15.8 eV/cell. Its crystal system is trigonal.

Cell: 5.0783 5.0783 13.7174 Å, 90.00 90.00 120.00°
With the nearest neighbours (Å) after each atom.
Element x y z (fractional)
1 Na 0.0000 0.0000 0.0000  6 Hg 3.32, 6 Cd 3.40, 2 Na 3.52
2 Na 0.0000 0.0000 0.2564  3 Hg 3.15, 3 Cd 3.44, 1 Na 3.52
3 Na 0.0000 0.0000 0.7436  3 Hg 3.15, 3 Cd 3.44, 1 Na 3.52
4 Cd 0.3333 0.6667 0.1254  5 Hg 2.94-3.27
5 Cd 0.6667 0.3333 0.8746  5 Hg 2.94-3.27
6 Hg 0.3333 0.6667 0.3407  1 Cd 2.95, 3 Na 3.15, 4 Pb 3.16-3.18
7 Hg 0.3333 0.6667 0.8870  4 Cd 2.94-3.27
8 Hg 0.6667 0.3333 0.1130  4 Cd 2.94-3.27
9 Hg 0.6667 0.3333 0.6593  1 Cd 2.95, 3 Na 3.15, 4 Pb 3.16-3.18
10 Pb 0.3333 0.6667 0.5725  4 Hg 3.16-3.18, 3 Pb 3.54
11 Pb 0.6667 0.3333 0.4275  4 Hg 3.16-3.18, 3 Pb 3.54



3.
Entry from Alexandria: Hf2ZrCu after structural relaxation (PBE-GGA).

Properties
The magnetization is 0.00 Bohr magnetons per cell. As for the symmetry: I-42d (122). The energy above the lowest structure with this stoichiometry is 0.5112 eV per atom. Its crystal system is tetragonal.

Cell: 10.4836 10.4836 10.4836 Å, 157.61 157.61 31.87°
With the nearest neighbours (Å) after each atom.
Element x y z (fractional)
1 Hf 0.1200 0.6250 0.9950  4 Hf 2.85-2.91, 2 Cu 2.90, 2 Zr 2.91
2 Hf 0.3750 0.3700 0.4950  4 Hf 2.85-2.91, 2 Cu 2.90, 2 Zr 2.91
3 Hf 0.6300 0.1250 0.0050  4 Hf 2.85-2.91, 2 Cu 2.90, 2 Zr 2.91
4 Hf 0.8750 0.8800 0.5050  4 Hf 2.85-2.91, 2 Cu 2.90, 2 Zr 2.91
5 Zr 0.2500 0.7500 0.5000  4 Cu 2.88, 4 Hf 2.91
6 Zr 0.5000 0.5000 0.0000  4 Cu 2.88, 4 Hf 2.91
7 Cu 0.0000 0.0000 0.0000  4 Zr 2.88, 4 Hf 2.90
8 Cu 0.7500 0.2500 0.5000  4 Zr 2.88, 4 Hf 2.90



4.
Entry from Alexandria: NbAgF2 after structural relaxation (PBE-GGA).

Properties
The magnetization is 0.00 Bohr magnetons per cell. The value obtained for the raw formation energy is -1.5249 eV/atom. As for the symmetry: R-3m (166). The energy above the lowest structure with this stoichiometry is 0.0000 eV per atom. Its crystal system is trigonal.

Cell: 10.2692 10.2692 10.2692 Å, 15.87 15.87 15.87°
With the nearest neighbours (Å) after each atom.
Element x y z (fractional)
1 Nb 0.0000 0.0000 0.0000  6 F 2.23
2 Ag 0.5000 0.5000 0.5000  6 Ag 2.84
3 F 0.3830 0.3830 0.3830  3 Nb 2.23
4 F 0.6170 0.6170 0.6170  3 Nb 2.23



5.
Entry from Alexandria: Hf2VSi after structural relaxation (PBE-GGA).

Properties
The magnetization is 0.51 Bohr magnetons per cell. The value obtained for the raw formation energy is 0.3130 eV/atom. As for the symmetry: R-3m (166). Its crystal system is trigonal.

Cell: 10.1093 10.1093 10.1093 Å, 16.65 16.65 16.65°
With the nearest neighbours (Å) after each atom.
Element x y z (fractional)
1 Hf 0.0895 0.0895 0.0895  1 V 2.68, 3 Si 2.86, 6 Hf 2.93
2 Hf 0.9105 0.9105 0.9105  1 V 2.68, 3 Si 2.86, 6 Hf 2.93
3 V 0.0000 0.0000 0.0000  2 Hf 2.68, 6 V 2.93
4 Si 0.5000 0.5000 0.5000  6 Hf 2.86, 6 Si 2.93



6.
Entry from Alexandria: Al2Fe6B after structural relaxation (PBE-GGA).

Properties
The magnetization is 11.18 Bohr magnetons per cell. As for the symmetry: I4/mmm (139). The energy above the lowest structure with this stoichiometry is 0.0230 eV per atom. Its crystal system is tetragonal.

Cell: 5.2609 5.2609 5.2609 Å, 120.23 120.23 89.61°
With the nearest neighbours (Å) after each atom.
Element x y z (fractional)
1 Al 0.2500 0.7500 0.5000  12 Fe 2.62-2.63
2 Al 0.7500 0.2500 0.5000  12 Fe 2.62-2.63
3 Fe 0.2340 0.2340 0.4680  1 B 1.97
4 Fe 0.2340 0.7660 0.0000  1 B 1.97
5 Fe 0.2358 0.2358 0.0000  1 B 1.97
6 Fe 0.7642 0.7642 0.0000  1 B 1.97
7 Fe 0.7660 0.2340 0.0000  1 B 1.97
8 Fe 0.7660 0.7660 0.5320  1 B 1.97
9 B 0.5000 0.5000 0.0000  6 Fe 1.97



7.
Entry from Alexandria: Co2Cu2Mo after structural relaxation (PBE-GGA).

Properties
The magnetization is 5.72 Bohr magnetons per cell. As for the symmetry: P4/mbm (127). The energy above the lowest structure with this stoichiometry is 0.0000 eV per atom. Its crystal system is tetragonal.

Cell: 6.9069 6.9069 2.5999 Å, 90.00 90.00 90.00°
With the nearest neighbours (Å) after each atom.
Element x y z (fractional)
1 Co 0.1190 0.3810 0.0000  3 Co 2.32-2.60, 6 Cu 2.38-2.46
2 Co 0.3810 0.8810 0.0000  3 Co 2.32-2.60, 6 Cu 2.38-2.46
3 Co 0.6190 0.1190 0.0000  3 Co 2.32-2.60, 6 Cu 2.38-2.46
4 Co 0.8810 0.6190 0.0000  3 Co 2.32-2.60, 6 Cu 2.38-2.46
5 Cu 0.1773 0.6773 0.5000  6 Co 2.38-2.46, 2 Cu 2.60
6 Cu 0.3227 0.1773 0.5000  6 Co 2.38-2.46, 2 Cu 2.60
7 Cu 0.6773 0.8227 0.5000  6 Co 2.38-2.46, 2 Cu 2.60
8 Cu 0.8227 0.3227 0.5000  6 Co 2.38-2.46, 2 Cu 2.60
9 Mo 0.0000 0.0000 0.0000  2 Mo 2.60, 4 Co 2.76, 8 Cu 2.86
10 Mo 0.5000 0.5000 0.0000  2 Mo 2.60, 4 Co 2.76, 8 Cu 2.86



8.
Entry from Alexandria: Na2SrMg2 after structural relaxation (PBE-GGA).

Properties
The magnetization is 0.00 Bohr magnetons per cell. As for the symmetry: P4/mbm (127). The energy above the lowest structure with this stoichiometry is 0.0228 eV per atom. Its crystal system is tetragonal.

Cell: 9.3543 9.3543 3.9542 Å, 90.00 90.00 90.00°
With the nearest neighbours (Å) after each atom.
Element x y z (fractional)
1 Na 0.1725 0.3275 0.0000  6 Mg 3.39-3.41
2 Na 0.3275 0.8275 0.0000  6 Mg 3.39-3.41
3 Na 0.6725 0.1725 0.0000  6 Mg 3.39-3.41
4 Na 0.8275 0.6725 0.0000  6 Mg 3.39-3.41
5 Sr 0.0000 0.0000 0.5000  4 Mg 3.73, 2 Sr 3.95, 8 Na 3.99
6 Sr 0.5000 0.5000 0.5000  4 Mg 3.73, 2 Sr 3.95, 8 Na 3.99
7 Mg 0.1191 0.6191 0.5000  1 Mg 3.15, 6 Na 3.39-3.41
8 Mg 0.3809 0.1191 0.5000  1 Mg 3.15, 6 Na 3.39-3.41
9 Mg 0.6191 0.8809 0.5000  1 Mg 3.15, 6 Na 3.39-3.41
10 Mg 0.8809 0.3809 0.5000  1 Mg 3.15, 6 Na 3.39-3.41



| no. | V (Å³/f.u.) |
| --- | --- |
| 1 | 491.8 |
| 2 | 306.4 |
| 3 | 83.5 |
| 4 | 70.6 |
| 5 | 73.9 |
| 6 | 102.6 |
| 7 | 62.0 |
| 8 | 173.0 |